! TiMnO2, optimized geometry, DFT GGA+U; values from VASP
&SYSTEM
  ibrav = 0, nat = 8, ntyp = 3
/
ATOMIC_SPECIES
Ti 47.87 Ti.upf
Mn 54.94 Mn.upf
O 16.00 O.upf
CELL_PARAMETERS angstrom
5.1202 -1.4965 0.0000
5.1202 1.4965 0.0000
-4.0762 0.0000 6.3232
ATOMIC_POSITIONS angstrom
Ti 0.0000 0.0000 0.0000
Ti -1.5087 0.0000 5.1424
Mn 3.8722 0.0000 2.5318
Mn 6.5933 0.0000 3.0855
O 0.3632 0.0000 1.9715
O 3.7532 0.0000 0.4336
O 2.3535 0.0000 5.8874
O 5.0077 0.0000 4.5654
! Space-group type: No. 8
! Raw total energy, eV per formula unit: -33.16
! ρ, g/cm³: 4.620